A plane-wave DFT calculation with GGA-PBE was carried out for a relaxed PdRuW crystal.

Calculated values
Its formation enthalpy at 0 K is -2.6 kJ per mole of atoms. The energy above the lowest structure with this stoichiometry comes out at 0 kJ/mol of formula units.

Unit cell a=4.4384 b=2.8321 c=7.2993 alpha=101.19 beta=90.00 gamma=90.00
Closest atoms and distances in Å follow each position.
Atoms (fractional coordinates):
Pd: 0.2500 0.7747 0.5493  6 Pd 2.73-2.83, 2 Ru 2.80, 4 W 2.82-2.83
Pd: 0.7500 0.2253 0.4507  6 Pd 2.73-2.83, 2 Ru 2.80, 4 W 2.82-2.83
Ru: 0.2500 0.4430 0.8860  6 W 2.70-2.72, 4 Ru 2.76-2.83, 2 Pd 2.80
Ru: 0.7500 0.5570 0.1140  6 W 2.70-2.72, 4 Ru 2.76-2.83, 2 Pd 2.80
W: 0.2500 0.1035 0.2070  6 Ru 2.70-2.72, 4 Pd 2.82-2.83, 2 W 2.83
W: 0.7500 0.8965 0.7930  6 Ru 2.70-2.72, 4 Pd 2.82-2.83, 2 W 2.83

---

A plane-wave DFT calculation with GGA-PBE was carried out for a relaxed Zr2BiS crystal.

Calculated values
The formation energy from raw total energies comes out at -0.894 eV/atom. The energy above the lowest structure with this stoichiometry comes out at 6 kJ/mol of formula units.

Unit cell a=3.8623 b=3.8623 c=7.1815 alpha=74.40 beta=74.40 gamma=60.00
Closest atoms and distances in Å follow each position.
Atoms (fractional coordinates):
S: 0.0000 0.0000 0.0000  6 Zr 2.57
Bi: 0.5000 0.5000 0.5000  6 Zr 3.09
Zr: 0.2714 0.2714 0.1859  3 S 2.57
Zr: 0.7286 0.7286 0.8141  3 S 2.57

---

A plane-wave DFT calculation with GGA-PBE was carried out for a relaxed HgW7 crystal.

Calculated values
Its formation enthalpy at 0 K is 50.3 kJ per mole of atoms.

Unit cell a=5.7274 b=5.7274 c=5.7274 alpha=60.00 beta=60.00 gamma=60.00
Closest atoms and distances in Å follow each position.
Atoms (fractional coordinates):
Hg: 0.0000 0.0000 0.0000  12 W 2.86
W: 0.0000 0.5000 0.5000  10 W 2.86, 2 Hg 2.86
W: 0.5000 0.0000 0.5000  10 W 2.86, 2 Hg 2.86
W: 0.5000 0.5000 0.0000  10 W 2.86, 2 Hg 2.86
W: 0.0000 0.0000 0.5000  10 W 2.86, 2 Hg 2.86
W: 0.0000 0.5000 0.0000  10 W 2.86, 2 Hg 2.86
W: 0.5000 0.0000 0.0000  10 W 2.86, 2 Hg 2.86
W: 0.5000 0.5000 0.5000  12 W 2.86

---

A plane-wave DFT calculation with GGA-PBE was carried out for a relaxed Ac2ZnCuNi crystal.

Calculated values
Its formation enthalpy at 0 K is -23.1 kJ per mole of atoms.

Unit cell a=4.2854 b=8.2683 c=7.6771 alpha=113.13 beta=90.00 gamma=90.00
Closest atoms and distances in Å follow each position.
Atoms (fractional coordinates):
Ac: 0.7500 0.8448 0.6281  3 Ni 3.06-3.19, 2 Cu 3.18, 3 Zn 3.28-3.37
Ac: 0.7500 0.7192 0.0638  3 Ni 3.05-3.06, 3 Cu 3.18-3.38, 2 Zn 3.39
Ac: 0.2500 0.1552 0.3719  3 Ni 3.06-3.19, 2 Cu 3.18, 3 Zn 3.28-3.37
Ac: 0.2500 0.2808 0.9362  3 Ni 3.05-3.06, 3 Cu 3.18-3.38, 2 Zn 3.39
Zn: 0.2500 0.5735 0.6924  3 Cu 2.56-2.85, 1 Ni 2.66
Zn: 0.7500 0.4265 0.3076  3 Cu 2.56-2.85, 1 Ni 2.66
Cu: 0.2500 0.6033 0.3354  3 Zn 2.56-2.85
Cu: 0.7500 0.3967 0.6646  3 Zn 2.56-2.85
Ni: 0.2500 0.9087 0.9321  2 Ni 2.59, 1 Zn 2.66
Ni: 0.7500 0.0913 0.0679  2 Ni 2.59, 1 Zn 2.66

---

A plane-wave DFT calculation with GGA-PBE was carried out for a relaxed ReSe2Br crystal.

Calculated values
The formation energy from raw total energies comes out at 1.113 eV/atom. The energy above the lowest structure with this stoichiometry comes out at 433 kJ/mol of formula units.

Unit cell a=4.6758 b=4.6758 c=4.6758 alpha=60.00 beta=60.00 gamma=60.00
Closest atoms and distances in Å follow each position.
Atoms (fractional coordinates):
Br: 0.5000 0.5000 0.5000  4 Se 2.86, 4 Re 2.86
Re: 0.7500 0.7500 0.7500  4 Br 2.86, 4 Se 2.86
Se: 0.0000 0.0000 0.0000  4 Re 2.86, 4 Se 2.86
Se: 0.2500 0.2500 0.2500  4 Se 2.86, 4 Br 2.86

---

A plane-wave DFT calculation with GGA-PBE was carried out for a relaxed Cd2In5 crystal.

Calculated values
Its formation enthalpy at 0 K is 4.5 kJ per mole of atoms. The energy above the lowest structure with this stoichiometry comes out at 8 kJ/mol of formula units.

Unit cell a=5.4477 b=5.4477 c=7.8936 alpha=69.81 beta=69.81 gamma=60.00
Closest atoms and distances in Å follow each position.
Atoms (fractional coordinates):
Cd: 0.6436 0.6436 0.0691  5 In 3.09-3.32, 3 Cd 3.30
Cd: 0.3564 0.3564 0.9309  5 In 3.09-3.32, 3 Cd 3.30
In: 0.0716 0.0716 0.7851  5 In 3.09-3.31, 3 Cd 3.32
In: 0.7861 0.7861 0.6418  7 In 3.09-3.31, 1 Cd 3.09
In: 0.5000 0.5000 0.5000  2 Cd 3.12, 6 In 3.31
In: 0.2139 0.2139 0.3582  7 In 3.09-3.31, 1 Cd 3.09
In: 0.9284 0.9284 0.2149  5 In 3.09-3.31, 3 Cd 3.32

---

A plane-wave DFT calculation with GGA-PBE was carried out for a relaxed ScAl2Tc crystal.

Calculated values
Its formation enthalpy at 0 K is -37.7 kJ per mole of atoms. The energy above the lowest structure with this stoichiometry comes out at 9 kJ/mol of formula units.

Unit cell a=3.2711 b=3.2711 c=6.2066 alpha=90.00 beta=90.00 gamma=90.00
Closest atoms and distances in Å follow each position.
Atoms (fractional coordinates):
Sc: 0.5000 0.5000 0.2500  8 Al 2.94, 2 Tc 3.10, 4 Sc 3.27
Tc: 0.5000 0.5000 0.7500  8 Al 2.65
Al: 0.0000 0.0000 0.9572  1 Al 2.57, 4 Tc 2.65
Al: 0.0000 0.0000 0.5428  1 Al 2.57, 4 Tc 2.65

---

Number 1: magnetic moment 0.00 Bohr magnetons per cell, DOS(E_F) 5.5 states/eV/cell. Number 2: magnetic moment 0.00 Bohr magnetons per cell, DOS(E_F) 2.5 states/eV/cell. Number 3: magnetic moment 0.00 Bohr magnetons per cell, DOS(E_F) 5.5 states/eV/cell. Number 4: magnetic moment 0.00 Bohr magnetons per cell, DOS(E_F) 6.9 states/eV/cell. Number 5: magnetic moment 0.00 Bohr magnetons per cell, DOS(E_F) 4.8 states/eV/cell. Number 6: magnetic moment 0.00 Bohr magnetons per cell, DOS(E_F) 2.6 states/eV/cell. Number 7: magnetic moment 0.36 Bohr magnetons per cell, DOS(E_F) 2.6 states/eV/cell.